Entry 1:
Density functional theory data (meta-GGA SCAN) for a PBEsol-optimized structure of LiReRh2.

abc: 2.7921 2.7921 6.6070
angles: 90.00 90.00 90.00
Last column: nearest neighbours and their distance in Å.
Sites, in units of the cell vectors:
Rh: 0.0000 0.0000 0.2352  4 Li 2.51, 4 Re 2.64, 4 Rh 2.79
Rh: 0.0000 0.0000 0.7648  4 Li 2.51, 4 Re 2.64, 4 Rh 2.79
Re: 0.5000 0.5000 0.5000  8 Rh 2.64, 4 Re 2.79
Li: 0.5000 0.5000 0.0000  8 Rh 2.51, 4 Li 2.79

Crystal system: tetragonal
Space group: No. 123
Volume, Å³/atom: 12.9

=====

Entry 2:
Density functional theory data (meta-GGA SCAN) for a PBEsol-optimized structure of LiDy2Rh.

abc: 4.8558 4.8558 4.8558
angles: 60.00 60.00 60.00
Last column: nearest neighbours and their distance in Å.
Sites, in units of the cell vectors:
Li: 0.5000 0.5000 0.5000  8 Dy 2.97
Dy: 0.7500 0.7500 0.7500  4 Li 2.97, 4 Rh 2.97
Dy: 0.2500 0.2500 0.2500  4 Li 2.97, 4 Rh 2.97
Rh: 0.0000 0.0000 0.0000  8 Dy 2.97

Crystal system: cubic
Space group: No. 225
Volume, Å³/atom: 20.2

=====

| no. | E_form (kcal/mol of atoms) |
| --- | --- |
| 1 | -3.48 |
| 2 | -13.30 |